Material: FeIr2RuF
Method: DFT, PBE+U
State: relaxed

Calculated values
The polymorph energy (0 for the lowest one) is 0.0 meV/atom. The density of states at the Fermi level comes out at 6.6 states/eV per cell. The symmetry is P4/mmm (123).

a b c (Å): 4.3264 4.3264 4.0108
angles (deg): 90.00 90.00 90.00
Last column: nearest neighbours and their distance in Å.
Atoms (fractional coordinates):
Fe: 0.0000 0.0000 0.0000  8 Ir 2.95, 4 Ru 3.06
Ir: 0.0000 0.5000 0.5000  2 F 2.16
Ir: 0.5000 0.0000 0.5000  2 F 2.16
Ru: 0.5000 0.5000 0.0000  2 F 2.01
F: 0.5000 0.5000 0.5000  2 Ru 2.01, 4 Ir 2.16